Material: Zn3PtRh
Method: DFT, SCAN
State: PBEsol geometry

a = 4.6043 Å, b = 4.6043 Å, c = 4.6043 Å
α = 90.00°, β = 90.00°, γ = 90.00°
Space group Pm-3m (No. 221)
Symmetry-distinct sites (fractional):
Zn: 0.0000 0.0000 0.5000 (multiplicity 3)
Pt: 0.0000 0.0000 0.0000 (multiplicity 1)
Rh: 0.5000 0.5000 0.5000 (multiplicity 1)

Output
magnetization = 0.00 Bohr magnetons per cell
ΔE_f = 0.463 eV/atom
volume = 98 Å³/cell
crystal system = cubic
VASP energy = -142.2 eV/f.u.
DOS(E_F) = 3.35 states/eV/f.u.